# 1
Entry from Alexandria via LeMat-Bulk: a geometry-optimized LiBiO3 structure (PBE-GGA).

Cell lengths 5.0438, 9.0096, 10.9521 Å; angles 90.00, 90.00, 90.00 degrees
Fractional positions:
1 Li 0.0003 0.2107 0.0950
2 Li 0.0003 0.2893 0.5950
3 Li 0.9997 0.7107 0.4050
4 Li 0.9997 0.7893 0.9050
5 Li 0.4997 0.2107 0.5950
6 Li 0.4997 0.2893 0.0950
7 Li 0.5003 0.7107 0.9050
8 Li 0.5003 0.7893 0.4050
9 Bi 0.0039 0.0860 0.3632
10 Bi 0.0039 0.4140 0.8632
11 Bi 0.4961 0.0860 0.8632
12 Bi 0.4961 0.4140 0.3632
13 Bi 0.5039 0.5860 0.6368
14 Bi 0.5039 0.9140 0.1368
15 Bi 0.9961 0.5860 0.1368
16 Bi 0.9961 0.9140 0.6368
17 O 0.1893 0.0955 0.5426
18 O 0.1893 0.4045 0.0426
19 O 0.2234 0.5842 0.3003
20 O 0.2234 0.9158 0.8003
21 O 0.2500 0.2500 0.2784
22 O 0.2500 0.2500 0.7784
23 O 0.2500 0.7500 0.0507
24 O 0.2500 0.7500 0.5507
25 O 0.2766 0.5842 0.8003
26 O 0.2766 0.9158 0.3003
27 O 0.3107 0.0955 0.0426
28 O 0.3107 0.4045 0.5426
29 O 0.6893 0.5955 0.4574
30 O 0.6893 0.9045 0.9574
31 O 0.7234 0.0842 0.6997
32 O 0.7234 0.4158 0.1997
33 O 0.7500 0.2500 0.4493
34 O 0.7500 0.2500 0.9493
35 O 0.7500 0.7500 0.2216
36 O 0.7500 0.7500 0.7216
37 O 0.7766 0.0842 0.1997
38 O 0.7766 0.4158 0.6997
39 O 0.8107 0.5955 0.9574
40 O 0.8107 0.9045 0.4574

space group	No. 56
formation energy (no corrections)	-6.08	eV/f.u.
N(E_F)	4.56	states/eV/cell



# 2
Entry from Alexandria via LeMat-Bulk: a geometry-optimized LiBi2O3 structure (PBE-GGA).

Cell lengths 6.0443, 6.0443, 5.7674 Å; angles 97.66, 97.66, 116.24 degrees
Fractional positions:
1 Li 0.0571 0.9429 0.7500
2 Li 0.9429 0.0571 0.2500
3 Bi 0.2409 0.7591 0.2500
4 Bi 0.4170 0.5830 0.7500
5 Bi 0.5830 0.4170 0.2500
6 Bi 0.7591 0.2409 0.7500
7 O 0.0000 0.5000 0.5000
8 O 0.1147 0.2843 0.9552
9 O 0.2843 0.1147 0.4552
10 O 0.5000 0.0000 0.0000
11 O 0.7157 0.8853 0.5448
12 O 0.8853 0.7157 0.0448

space group	No. 15
formation energy (no corrections)	-6.69	eV/f.u.
N(E_F)	2.72	states/eV/cell



# 3
Entry from Alexandria via LeMat-Bulk: a geometry-optimized LiBi3O6 structure (PBE-GGA).

Cell lengths 9.3536, 9.3536, 9.3536 Å; angles 109.47, 109.47, 109.47 degrees
Fractional positions:
1 Li 0.0000 0.9680 0.5000
2 Li 0.5000 0.0000 0.9680
3 Li 0.5320 0.5320 0.5320
4 Li 0.9680 0.5000 0.0000
5 Bi 0.0367 0.7500 0.7867
6 Bi 0.2140 0.9640 0.2500
7 Bi 0.2500 0.2140 0.9640
8 Bi 0.2500 0.7133 0.4633
9 Bi 0.2860 0.5360 0.7500
10 Bi 0.4633 0.2500 0.7133
11 Bi 0.5360 0.7500 0.2860
12 Bi 0.7133 0.4633 0.2500
13 Bi 0.7500 0.2860 0.5360
14 Bi 0.7500 0.7867 0.0367
15 Bi 0.7867 0.0367 0.7500
16 Bi 0.9640 0.2500 0.2140
17 O 0.0048 0.9669 0.7248
18 O 0.0272 0.0576 0.2602
19 O 0.0304 0.4728 0.7330
20 O 0.0576 0.2602 0.0272
21 O 0.2026 0.4424 0.4696
22 O 0.2199 0.9621 0.4952
23 O 0.2398 0.2974 0.7670
24 O 0.2602 0.0272 0.0576
25 O 0.2801 0.7752 0.7421
26 O 0.2974 0.7670 0.2398
27 O 0.4424 0.4696 0.2026
28 O 0.4696 0.2026 0.4424
29 O 0.4728 0.7330 0.0304
30 O 0.4952 0.2199 0.9621
31 O 0.5331 0.5379 0.7579
32 O 0.5379 0.7579 0.5331
33 O 0.7248 0.0048 0.9669
34 O 0.7330 0.0304 0.4728
35 O 0.7421 0.2801 0.7752
36 O 0.7579 0.5331 0.5379
37 O 0.7670 0.2398 0.2974
38 O 0.7752 0.7421 0.2801
39 O 0.9621 0.4952 0.2199
40 O 0.9669 0.7248 0.0048

space group	No. 199
formation energy (no corrections)	-11.58	eV/f.u.
N(E_F)	11.10	states/eV/cell



# 4
Entry from Alexandria via LeMat-Bulk: a geometry-optimized Li3BiO structure (PBE-GGA).

Cell lengths 5.7906, 5.7906, 8.2806 Å; angles 102.02, 102.02, 37.55 degrees
Fractional positions:
1 Li 0.0547 0.0547 0.1306
2 Li 0.1274 0.1274 0.7156
3 Li 0.3176 0.3176 0.0283
4 Li 0.6824 0.6824 0.9717
5 Li 0.8726 0.8726 0.2844
6 Li 0.9453 0.9453 0.8694
7 Bi 0.3740 0.3740 0.5678
8 Bi 0.6260 0.6260 0.4322
9 O 0.1294 0.1294 0.9425
10 O 0.8706 0.8706 0.0575

space group	No. 12
formation energy (no corrections)	-5.89	eV/f.u.
N(E_F)	1.14	states/eV/cell



# 5
Entry from Alexandria via LeMat-Bulk: a geometry-optimized Li8BiO6 structure (PBE-GGA).

Cell lengths 5.8351, 5.8351, 11.0023 Å; angles 90.00, 90.00, 120.00 degrees
Fractional positions:
1 Li 0.0000 0.3211 0.0000
2 Li 0.0000 0.4150 0.3594
3 Li 0.0000 0.5850 0.8594
4 Li 0.0000 0.6789 0.5000
5 Li 0.3211 0.0000 0.0000
6 Li 0.3211 0.3211 0.5000
7 Li 0.3333 0.6667 0.1346
8 Li 0.3333 0.6667 0.6346
9 Li 0.4150 0.0000 0.3594
10 Li 0.4150 0.4150 0.8594
11 Li 0.5850 0.0000 0.8594
12 Li 0.5850 0.5850 0.3594
13 Li 0.6667 0.3333 0.1346
14 Li 0.6667 0.3333 0.6346
15 Li 0.6789 0.0000 0.5000
16 Li 0.6789 0.6789 0.0000
17 Bi 0.0000 0.0000 0.2232
18 Bi 0.0000 0.0000 0.7232
19 O 0.0000 0.0000 0.4204
20 O 0.0000 0.0000 0.9204
21 O 0.0000 0.3565 0.1811
22 O 0.0000 0.6435 0.6811
23 O 0.3333 0.6667 0.4454
24 O 0.3333 0.6667 0.9454
25 O 0.3565 0.0000 0.1811
26 O 0.3565 0.3565 0.6811
27 O 0.6435 0.0000 0.6811
28 O 0.6435 0.6435 0.1811
29 O 0.6667 0.3333 0.4454
30 O 0.6667 0.3333 0.9454

space group	No. 185
formation energy (no corrections)	-24.76	eV/f.u.
N(E_F)	2.24	states/eV/cell



# 6
Entry from Alexandria via LeMat-Bulk: a geometry-optimized Li4BiO structure (PBE-GGA).

Cell lengths 7.7500, 7.7500, 6.9449 Å; angles 90.00, 90.00, 152.90 degrees
Fractional positions:
1 Li 0.0002 0.9998 0.0000
2 Li 0.9998 0.0002 0.5000
3 Li 0.1756 0.8244 0.5691
4 Li 0.1760 0.8240 0.9277
5 Li 0.4370 0.5630 0.2498
6 Li 0.5630 0.4370 0.7498
7 Li 0.8244 0.1756 0.0691
8 Li 0.8240 0.1760 0.4277
9 Bi 0.3586 0.6414 0.7483
10 Bi 0.6414 0.3586 0.2483
11 O 0.0825 0.9175 0.7488
12 O 0.9175 0.0825 0.2488

space group	No. 36
formation energy (no corrections)	-6.55	eV/f.u.
N(E_F)	3.68	states/eV/cell